No. 1
Below is an optimized crystal structure of LiEr2BO5, with properties calculated at the GGA-PBE level.

The size of the total moment comes out at 0.000 Bohr magnetons per cell. The calculation puts the density of states at the Fermi level at 0.00 states/eV/f.u. The final energy comes out at -7.581 eV per atom. Its crystal system is orthorhombic. For the uncorrected formation energy, the calculation gives -2.858 eV per atom.

The space group is Cmc2_1 (No. 36) and the conventional cell measures 3.0652, 12.9414 and 9.3839 Å, with angles of 90.00, 90.00 and 90.00 degrees. The asymmetric unit holds Li at (0.0000, 0.1909, 0.0000), Er at (0.0000, 0.1239, 0.6476), Er at (0.0000, 0.1377, 0.2993), B at (0.0000, 0.4421, 0.3814), O at (0.0000, 0.0285, 0.9603), O at (0.0000, 0.2943, 0.6620), O at (0.0000, 0.3359, 0.3446), O at (0.0000, 0.3444, 0.9838) and O at (0.0000, 0.4967, 0.7514).

=====

No. 2
Below is an optimized crystal structure of Er3LuB, with properties calculated at the GGA-PBE level.

The size of the total moment comes out at 0.000 Bohr magnetons per cell. The calculation puts the density of states at the Fermi level at 6.02 states/eV/f.u. The final energy comes out at -4.918 eV per atom. Its crystal system is cubic. The calculation puts the formation energy at 0.0591 eV per atom.

The space group is Pm-3m (No. 221) and the conventional cell measures 5.1017, 5.1017 and 5.1017 Å, with angles of 90.00, 90.00 and 90.00 degrees. The asymmetric unit holds Er at (0.0000, 0.0000, 0.5000), Lu at (0.5000, 0.5000, 0.5000) and B at (0.0000, 0.0000, 0.0000).

=====

No. 3
Below is an optimized crystal structure of ErLu3B, with properties calculated at the GGA-PBE level.

The size of the total moment comes out at 0.001 Bohr magnetons per cell. The calculation puts the density of states at the Fermi level at 5.72 states/eV/f.u. The final energy comes out at -4.924 eV per atom. Its crystal system is cubic. The calculation puts the formation energy at 0.0367 eV per atom.

The space group is Pm-3m (No. 221) and the conventional cell measures 5.0468, 5.0468 and 5.0468 Å, with angles of 90.00, 90.00 and 90.00 degrees. The asymmetric unit holds Er at (0.0000, 0.0000, 0.0000), Lu at (0.0000, 0.5000, 0.5000) and B at (0.5000, 0.5000, 0.5000).

=====

No. 4
Below is an optimized crystal structure of ErMgB12, with properties calculated at the GGA-PBE level.

The size of the total moment comes out at 0.000 Bohr magnetons per cell. The calculation puts the density of states at the Fermi level at 0.49 states/eV/f.u. The final energy comes out at -6.346 eV per atom. Its crystal system is tetragonal. The calculation puts the formation energy at -0.1832 eV per atom.

The space group is P4/mmm (No. 123) and the conventional cell measures 4.0927, 4.0927 and 8.2190 Å, with angles of 90.00, 90.00 and 90.00 degrees. The asymmetric unit holds Er at (0.0000, 0.0000, 0.0000), Mg at (0.0000, 0.0000, 0.5000), B at (0.1995, 0.5000, 0.2491), B at (0.5000, 0.5000, 0.0991) and B at (0.5000, 0.5000, 0.3996).

=====

Which formula does entry 3 have? ErLu3B